Entry 1:
Computed, not measured: an optimized crystal structure of ReSBr at the PBE level of DFT.

Unit cell a=3.227 b=5.766 c=8.008 alpha=85.30 beta=90.00 gamma=90.00
Positions (direct):
Re1 0.250 0.976 0.434
Re2 0.750 0.635 0.544
S1 0.750 0.007 0.642
S2 0.250 0.416 0.412
Br1 0.250 0.979 0.131
Br2 0.750 0.492 0.837

- raw formation energy (eV/f.u.) = -0.36
- E above lowest polymorph (meV/atom) = 0
- M_tot (μB/cell) = 0.00
- SG = Pm (6)


Entry 2:
Computed, not measured: an optimized crystal structure of MgGaRhO4 at the PBE level of DFT.

Unit cell a=5.931 b=5.991 c=5.991 alpha=60.71 beta=60.33 gamma=60.33
Positions (direct):
Mg1 0.500 0.000 0.500
Mg2 0.000 0.000 0.500
Ga1 0.639 0.611 0.111
Ga2 0.361 0.389 0.889
Rh1 0.000 0.000 0.000
Rh2 0.000 0.500 0.500
O1 0.754 0.758 0.734
O2 0.246 0.766 0.742
O3 0.754 0.234 0.258
O4 0.246 0.242 0.266
O5 0.240 0.751 0.251
O6 0.758 0.751 0.251
O7 0.242 0.249 0.749
O8 0.760 0.249 0.749

- raw formation energy (eV/f.u.) = -11.97
- M_tot (μB/cell) = 0.00
- SG = Imma (74)


Entry 3:
Computed, not measured: an optimized crystal structure of CaTcS2F at the PBE level of DFT.

Unit cell a=4.399 b=6.039 c=4.399 alpha=90.00 beta=90.00 gamma=90.00
Positions (direct):
S1 0.000 0.000 0.500
S2 0.500 0.000 0.000
Ca1 0.000 0.500 0.000
Tc1 0.000 0.000 0.000
F1 0.500 0.500 0.500

- raw formation energy (eV/f.u.) = -4.62
- M_tot (μB/cell) = 0.00
- SG = P4/mmm (123)


Entry 4:
Computed, not measured: an optimized crystal structure of BeIn3Co at the PBE level of DFT.

Unit cell a=4.805 b=4.805 c=4.805 alpha=90.00 beta=90.00 gamma=90.00
Each line ends with the local moment (μB).
Positions (direct):
Be1 0.000 0.000 0.000  0.02
Co1 0.500 0.500 0.500  1.91
In1 0.000 0.500 0.000  -0.01
In2 0.000 0.000 0.500  0.01
In3 0.500 0.000 0.000  0.01

- ΔH_f (0 K) (eV per atom) = 0.80
- E above lowest polymorph (meV/atom) = 263
- M_tot (μB/cell) = 1.92
- SG = Pm-3m (221)


Entry 5:
Computed, not measured: an optimized crystal structure of VS2I at the PBE level of DFT.

Unit cell a=3.259 b=3.259 c=11.053 alpha=81.52 beta=81.52 gamma=60.00
Each line ends with the local moment (μB).
Positions (direct):
I1 0.500 0.500 0.500  0.00
S1 0.711 0.711 0.867  -0.04
S2 0.289 0.289 0.133  -0.04
V1 0.000 0.000 0.000  0.71

- raw formation energy (eV/f.u.) = -2.20
- E above lowest polymorph (meV/atom) = 0
- M_tot (μB/cell) = 0.69
- SG = R-3m (166)


Entry 6:
Computed, not measured: an optimized crystal structure of SrIn2Cu at the PBE level of DFT.

Unit cell a=5.263 b=5.263 c=9.837 alpha=74.48 beta=74.48 gamma=90.00
Positions (direct):
Sr1 0.000 0.000 0.000
Sr2 0.750 0.250 0.500
Cu1 0.500 0.500 0.000
Cu2 0.250 0.750 0.500
In1 0.466 0.125 0.250
In2 0.284 0.625 0.250
In3 0.375 0.534 0.750
In4 0.875 0.716 0.750

- ΔH_f (0 K) (eV per atom) = -0.01
- M_tot (μB/cell) = 0.00
- SG = I-42d (122)


Entry 7:
Computed, not measured: an optimized crystal structure of BaSI2O at the PBE level of DFT.

Unit cell a=6.214 b=6.214 c=3.799 alpha=90.00 beta=90.00 gamma=90.00
Each line ends with the local moment (μB).
Positions (direct):
I1 0.000 0.500 0.000  0.03
I2 0.500 0.000 0.000  0.03
S1 0.000 0.000 0.000  0.19
Ba1 0.500 0.500 0.500  0.01
O1 0.000 0.000 0.500  0.13

- raw formation energy (eV/f.u.) = -2.90
- E above lowest polymorph (meV/atom) = 0
- M_tot (μB/cell) = 0.57
- SG = P4/mmm (123)


Entry 8:
Computed, not measured: an optimized crystal structure of SrCuH4 at the PBE level of DFT.

Unit cell a=4.998 b=4.989 c=6.270 alpha=113.46 beta=114.81 gamma=89.90
Positions (direct):
Sr1 0.803 0.809 0.117
Sr2 0.197 0.191 0.883
Cu1 0.500 0.000 0.500
Cu2 0.000 0.500 0.500
H1 0.664 0.158 0.818
H2 0.825 0.340 0.182
H3 0.336 0.842 0.182
H4 0.175 0.660 0.818
H5 0.764 0.764 0.501
H6 0.235 0.762 0.497
H7 0.236 0.236 0.499
H8 0.765 0.238 0.503

- DFT total energy (eV per cell) = -40.15
- M_tot (μB/cell) = 0.00
- SG = P-1 (2)


Entry 9:
Computed, not measured: an optimized crystal structure of Cs2CuGeBr6 at the PBE level of DFT.

Unit cell a=7.608 b=7.608 c=7.647 alpha=60.17 beta=60.17 gamma=90.00
Positions (direct):
Cs1 0.750 0.250 0.500
Cs2 0.250 0.750 0.500
Ge1 0.000 0.000 0.000
Cu1 0.500 0.500 0.000
Br1 0.251 0.251 0.498
Br2 0.749 0.749 0.502
Br3 0.254 0.254 0.000
Br4 0.746 0.746 0.000
Br5 0.746 0.254 0.000
Br6 0.254 0.746 0.000

- raw formation energy (eV/f.u.) = -9.98
- M_tot (μB/cell) = 0.00
- SG = I4/mmm (139)


Entry 10:
Computed, not measured: an optimized crystal structure of Ca3Rh8Pb at the PBE level of DFT.

Unit cell a=5.340 b=5.340 c=9.286 alpha=73.29 beta=73.29 gamma=60.00
Positions (direct):
Ca1 0.375 0.375 0.875
Ca2 0.999 0.999 0.002
Ca3 0.501 0.501 0.498
Rh1 0.936 0.438 0.189
Rh2 0.439 0.937 0.686
Rh3 0.438 0.438 0.189
Rh4 0.937 0.937 0.686
Rh5 0.188 0.188 0.437
Rh6 0.688 0.688 0.937
Rh7 0.438 0.936 0.189
Rh8 0.937 0.439 0.686
Pb1 0.875 0.875 0.375

- ΔH_f (0 K) (eV per atom) = -0.31
- M_tot (μB/cell) = 0.00
- SG = R3m (160)


Entry 11:
Computed, not measured: an optimized crystal structure of SbPt2NO at the PBE level of DFT.

Unit cell a=5.063 b=3.997 c=5.063 alpha=90.00 beta=90.00 gamma=90.00
Each line ends with the local moment (μB).
Positions (direct):
Sb1 0.000 0.000 0.000  0.02
O1 0.500 0.500 0.500  1.12
Pt1 0.000 0.000 0.500  0.15
Pt2 0.500 0.000 0.000  0.15
N1 0.000 0.500 0.000  -0.16

- raw formation energy (eV/f.u.) = 8.62
- M_tot (μB/cell) = 1.36
- SG = P4/mmm (123)


Entry 12:
Computed, not measured: an optimized crystal structure of Ac4TlN at the PBE level of DFT.

Unit cell a=6.738 b=8.738 c=7.685 alpha=104.85 beta=90.00 gamma=112.68
Positions (direct):
Ac1 0.508 0.203 0.458
Ac2 0.878 0.612 0.337
Ac3 0.305 0.797 0.042
Ac4 0.492 0.797 0.542
Ac5 0.122 0.388 0.663
Ac6 0.267 0.388 0.163
Ac7 0.733 0.612 0.837
Ac8 0.695 0.203 0.958
Tl1 0.093 0.000 0.750
Tl2 0.907 0.000 0.250
N1 0.500 0.500 0.500
N2 0.000 0.500 0.000

- raw formation energy (eV/f.u.) = -2.51
- E above lowest polymorph (meV/atom) = 32
- M_tot (μB/cell) = 0.00
- SG = C2/c (15)


> What is the formula in the second record?

MgGaRhO4


> Number 1 is which compound?

ReSBr


What did the seventh record say?
Computed, not measured: an optimized crystal structure of BaSI2O at the PBE level of DFT.

Unit cell a=6.214 b=6.214 c=3.799 alpha=90.00 beta=90.00 gamma=90.00
Each line ends with the local moment (μB).
Positions (direct):
I1 0.000 0.500 0.000  0.03
I2 0.500 0.000 0.000  0.03
S1 0.000 0.000 0.000  0.19
Ba1 0.500 0.500 0.500  0.01
O1 0.000 0.000 0.500  0.13

- raw formation energy (eV/f.u.) = -2.90
- E above lowest polymorph (meV/atom) = 0
- M_tot (μB/cell) = 0.57
- SG = P4/mmm (123)